Entry from Alexandria: a relaxed structure of LaCeSc2Tl4 (PBE).

Unit cell a=5.357 b=5.357 c=9.299 alpha=73.26 beta=73.26 gamma=60.00
Fractional coordinates of all 8 atoms:
Tl 0.624 0.624 0.129
Tl 0.376 0.376 0.871
Tl 0.874 0.874 0.378
Tl 0.126 0.126 0.622
Sc 0.250 0.250 0.251
Sc 0.750 0.750 0.749
Ce 0.500 0.500 0.500
La 0.000 0.000 0.000

Computed properties:
**VASP energy**: -4.4042 eV per atom
**Space-group type**: No. 166
**N(E_F)**: 1.52 states/eV/atom
**Spin magnetization**: 0.139 μB per atom
**Formation enthalpy at 0 K**: -281 meV per atom


Entry from Alexandria: a relaxed structure of PmMgNi2H6 (PBE).

Unit cell a=4.436 b=4.436 c=5.822 alpha=67.60 beta=67.60 gamma=60.00
Fractional coordinates of all 10 atoms:
H 0.938 0.431 0.200
H 0.062 0.569 0.800
H 0.431 0.431 0.200
H 0.569 0.569 0.800
H 0.431 0.938 0.200
H 0.569 0.062 0.800
Mg 0.500 0.500 0.500
Ni 0.210 0.210 0.371
Ni 0.790 0.790 0.629
Pm 0.000 0.000 0.000

Computed properties:
**VASP energy**: -4.1005 eV per atom
**Space-group type**: No. 166
**N(E_F)**: 0.26 states/eV/atom
**Spin magnetization**: 0.000 μB per atom


Question: N(E_F) of number 1 (LaCeSc2Tl4)?
Answer: 1.52 states/eV/atom


Question: What is the VASP energy in the first record?
Answer: -4.4042 eV per atom


Repeat the first record exactly.
Entry from Alexandria: a relaxed structure of LaCeSc2Tl4 (PBE).

Unit cell a=5.357 b=5.357 c=9.299 alpha=73.26 beta=73.26 gamma=60.00
Fractional coordinates of all 8 atoms:
Tl 0.624 0.624 0.129
Tl 0.376 0.376 0.871
Tl 0.874 0.874 0.378
Tl 0.126 0.126 0.622
Sc 0.250 0.250 0.251
Sc 0.750 0.750 0.749
Ce 0.500 0.500 0.500
La 0.000 0.000 0.000

Computed properties:
**VASP energy**: -4.4042 eV per atom
**Space-group type**: No. 166
**N(E_F)**: 1.52 states/eV/atom
**Spin magnetization**: 0.139 μB per atom
**Formation enthalpy at 0 K**: -281 meV per atom


What did the first record say?
Entry from Alexandria: a relaxed structure of LaCeSc2Tl4 (PBE).

Unit cell a=5.357 b=5.357 c=9.299 alpha=73.26 beta=73.26 gamma=60.00
Fractional coordinates of all 8 atoms:
Tl 0.624 0.624 0.129
Tl 0.376 0.376 0.871
Tl 0.874 0.874 0.378
Tl 0.126 0.126 0.622
Sc 0.250 0.250 0.251
Sc 0.750 0.750 0.749
Ce 0.500 0.500 0.500
La 0.000 0.000 0.000

Computed properties:
**VASP energy**: -4.4042 eV per atom
**Space-group type**: No. 166
**N(E_F)**: 1.52 states/eV/atom
**Spin magnetization**: 0.139 μB per atom
**Formation enthalpy at 0 K**: -281 meV per atom